Material: Rb2VGeF6
Method: DFT, GGA+U
State: optimized geometry

Unit cell a=6.189 b=6.189 c=6.193 alpha=60.02 beta=60.02 gamma=90.00
Site moments in Bohr magnetons follow the coordinates.
Atoms (fractional coordinates):
Ge  0.000  0.000  0.000  0.00
F  0.256  0.256  0.487  0.00
F  0.744  0.744  0.513  0.00
F  0.257  0.257  0.000  0.01
F  0.743  0.743  0.000  0.01
F  0.743  0.257  0.000  0.01
F  0.257  0.743  0.000  0.01
Rb  0.750  0.250  0.500  0.00
Rb  0.250  0.750  0.500  0.00
V  0.500  0.500  0.000  2.75

For the total energy, the calculation gives -5.08 eV/atom. As for the symmetry: Fm-3m, No. 225. For the density of states at the Fermi level, the calculation gives 0.00 states/eV/f.u.